Record 1
Compound: InSn5W3
Source: OQMD via LeMat-Bulk
Functional: PBE-GGA
Structure: relaxed

Cell lengths 5.529, 5.529, 8.445 Å; angles 90.00, 90.00, 120.00 degrees
Fractional coordinates of all 9 atoms:
In 0.000 0.000 0.000
Sn 0.000 0.000 0.500
Sn 0.333 0.667 0.208
Sn 0.333 0.667 0.792
Sn 0.667 0.333 0.208
Sn 0.667 0.333 0.792
W 0.000 0.500 0.500
W 0.500 0.000 0.500
W 0.500 0.500 0.500

Summary:
The calculation puts the total energy at -6.538 eV per atom. As for the crystal system: hexagonal. The theoretical density is 9.4 Mg/m³. Its space group is P6/mmm, No. 191.

---

Record 2
Compound: Cs3HgBr5
Source: OQMD via LeMat-Bulk
Functional: PBE-GGA
Structure: relaxed

Cell lengths 9.438, 11.307, 14.164 Å; angles 90.00, 90.00, 90.00 degrees
Fractional coordinates of all 36 atoms:
Cs 0.079 0.250 0.051
Cs 0.085 0.021 0.331
Cs 0.085 0.479 0.331
Cs 0.415 0.521 0.831
Cs 0.415 0.979 0.831
Cs 0.421 0.750 0.551
Cs 0.579 0.250 0.449
Cs 0.585 0.021 0.169
Cs 0.585 0.479 0.169
Cs 0.915 0.521 0.669
Cs 0.915 0.979 0.669
Cs 0.921 0.750 0.949
Hg 0.196 0.250 0.613
Hg 0.304 0.750 0.113
Hg 0.696 0.250 0.887
Hg 0.804 0.750 0.387
Br 0.043 0.750 0.493
Br 0.125 0.250 0.793
Br 0.170 0.750 0.761
Br 0.185 0.548 0.063
Br 0.185 0.952 0.063
Br 0.315 0.048 0.563
Br 0.315 0.452 0.563
Br 0.330 0.250 0.261
Br 0.375 0.750 0.293
Br 0.457 0.250 0.993
Br 0.543 0.750 0.007
Br 0.625 0.250 0.707
Br 0.670 0.750 0.739
Br 0.685 0.548 0.437
Br 0.685 0.952 0.437
Br 0.815 0.048 0.937
Br 0.815 0.452 0.937
Br 0.830 0.250 0.239
Br 0.875 0.750 0.207
Br 0.957 0.250 0.507

Summary:
The calculation puts the total energy at -2.616 eV per atom. As for the crystal system: orthorhombic. The theoretical density is 4.4 Mg/m³. Its space group is Pnma, No. 62.

---

Record 3
Compound: Ba2SmOsN6
Source: OQMD via LeMat-Bulk
Functional: PBE-GGA
Structure: relaxed

Cell lengths 6.080, 6.080, 6.086 Å; angles 60.11, 60.27, 60.06 degrees
Fractional coordinates of all 10 atoms:
Ba 0.250 0.250 0.249
Ba 0.750 0.750 0.751
Sm 0.500 0.500 0.500
Os 0.000 0.000 0.000
N 0.202 0.776 0.250
N 0.236 0.758 0.791
N 0.239 0.212 0.784
N 0.761 0.788 0.216
N 0.764 0.242 0.209
N 0.798 0.224 0.750

Summary:
As for the crystal system: triclinic. The theoretical density is 7.3 Mg/m³. Its space group is P-1, No. 2. The energy above the most stable polymorph in this dataset comes out at 2 meV/atom.

---

Record 4
Compound: BaNaMoIr
Source: OQMD via LeMat-Bulk
Functional: PBE-GGA
Structure: relaxed

Cell lengths 7.171, 7.171, 7.171 Å; angles 90.00, 90.00, 90.00 degrees
Fractional coordinates of all 16 atoms:
Ba 0.000 0.000 0.000
Ba 0.000 0.500 0.500
Ba 0.500 0.000 0.500
Ba 0.500 0.500 0.000
Na 0.250 0.250 0.750
Na 0.250 0.750 0.250
Na 0.750 0.250 0.250
Na 0.750 0.750 0.750
Mo 0.000 0.000 0.500
Mo 0.000 0.500 0.000
Mo 0.500 0.000 0.000
Mo 0.500 0.500 0.500
Ir 0.250 0.250 0.250
Ir 0.250 0.750 0.750
Ir 0.750 0.250 0.750
Ir 0.750 0.750 0.250

Summary:
As for the crystal system: cubic. The theoretical density is 8.1 Mg/m³. Its space group is F-43m, No. 216. The energy above the most stable polymorph in this dataset comes out at 34 meV/atom.

---

Record 5
Compound: Ho2ErCo2Ni7
Source: OQMD via LeMat-Bulk
Functional: PBE-GGA
Structure: relaxed

Cell lengths 8.576, 8.576, 8.576 Å; angles 33.35, 33.35, 33.35 degrees
Fractional coordinates of all 12 atoms:
Ho 0.139 0.139 0.139
Ho 0.861 0.861 0.861
Er 0.000 0.000 0.000
Co 0.333 0.333 0.333
Co 0.667 0.667 0.667
Ni 0.080 0.582 0.582
Ni 0.418 0.418 0.920
Ni 0.418 0.920 0.418
Ni 0.500 0.500 0.500
Ni 0.582 0.080 0.582
Ni 0.582 0.582 0.080
Ni 0.920 0.418 0.418

Summary:
As for the crystal system: trigonal. The theoretical density is 10.0 Mg/m³. Its space group is R-3m, No. 166. As for the calculated formation energy: -423 kJ/mol of formula units.

---

Record 6
Compound: TaIn2Mo
Source: OQMD via LeMat-Bulk
Functional: PBE-GGA
Structure: relaxed

Cell lengths 6.718, 6.718, 6.718 Å; angles 90.00, 90.00, 90.00 degrees
Fractional coordinates of all 16 atoms:
Ta 0.000 0.000 0.000
Ta 0.000 0.500 0.500
Ta 0.500 0.000 0.500
Ta 0.500 0.500 0.000
In 0.000 0.000 0.500
In 0.000 0.500 0.000
In 0.250 0.250 0.250
In 0.250 0.750 0.750
In 0.500 0.000 0.000
In 0.500 0.500 0.500
In 0.750 0.250 0.750
In 0.750 0.750 0.250
Mo 0.250 0.250 0.750
Mo 0.250 0.750 0.250
Mo 0.750 0.250 0.250
Mo 0.750 0.750 0.750

Summary:
The calculation puts the total energy at -6.567 eV per atom. As for the crystal system: cubic. The theoretical density is 11.1 Mg/m³. Its space group is F-43m, No. 216.

---

Record 7
Compound: AlAuSO
Source: OQMD via LeMat-Bulk
Functional: PBE-GGA
Structure: relaxed

Cell lengths 7.360, 6.698, 5.500 Å; angles 90.00, 110.81, 90.00 degrees
Fractional coordinates of all 16 atoms:
Al 0.000 0.096 0.226
Al 0.000 0.404 0.726
Al 0.000 0.596 0.274
Al 0.000 0.904 0.774
Au 0.499 0.247 0.791
Au 0.499 0.253 0.291
Au 0.501 0.747 0.709
Au 0.501 0.753 0.209
S 0.262 0.502 0.127
S 0.262 0.998 0.627
S 0.738 0.002 0.373
S 0.738 0.498 0.873
O 0.001 0.166 0.905
O 0.001 0.334 0.405
O 0.999 0.666 0.595
O 0.999 0.834 0.095

Summary:
As for the crystal system: monoclinic. The theoretical density is 7.1 Mg/m³. Its space group is P2_1/c, No. 14. The energy above the most stable polymorph in this dataset comes out at 9 meV/atom.

---

Record 8
Compound: PrPdPt
Source: OQMD via LeMat-Bulk
Functional: PBE-GGA
Structure: relaxed

Cell lengths 6.567, 6.567, 6.567 Å; angles 90.00, 90.00, 90.00 degrees
Fractional coordinates of all 12 atoms:
Pr 0.000 0.000 0.000
Pr 0.000 0.500 0.500
Pr 0.500 0.000 0.500
Pr 0.500 0.500 0.000
Pd 0.250 0.250 0.250
Pd 0.250 0.750 0.750
Pd 0.750 0.250 0.750
Pd 0.750 0.750 0.250
Pt 0.000 0.000 0.500
Pt 0.000 0.500 0.000
Pt 0.500 0.000 0.000
Pt 0.500 0.500 0.500

Summary:
As for the crystal system: cubic. The theoretical density is 10.4 Mg/m³. Its space group is F-43m, No. 216. As for the calculated formation energy: -184 kJ/mol of formula units. The energy above the most stable polymorph in this dataset comes out at 0 meV/atom.

---

Record 9
Compound: Er2TmSc3Te2Au
Source: OQMD via LeMat-Bulk
Functional: PBE-GGA
Structure: relaxed

Cell lengths 3.931, 8.014, 8.014 Å; angles 120.06, 90.00, 90.00 degrees
Fractional coordinates of all 9 atoms:
Er 0.000 0.199 0.801
Er 0.000 0.801 0.199
Tm 0.000 0.405 0.405
Sc 0.500 0.049 0.049
Sc 0.500 0.553 0.801
Sc 0.500 0.801 0.553
Te 0.500 0.135 0.468
Te 0.500 0.468 0.135
Au 0.000 0.800 0.800

Summary:
The calculation puts the total energy at -5.465 eV per atom. As for the crystal system: orthorhombic. The theoretical density is 8.3 Mg/m³. Its space group is Amm2, No. 38.

---

Record 10
Compound: Cu4Ag
Source: OQMD via LeMat-Bulk
Functional: PBE-GGA
Structure: relaxed

Cell lengths 4.563, 5.314, 5.876 Å; angles 102.91, 97.02, 106.65 degrees
Fractional coordinates of all 10 atoms:
Cu 0.000 0.242 0.001
Cu 0.000 0.758 0.999
Cu 0.192 0.143 0.390
Cu 0.391 0.049 0.811
Cu 0.398 0.557 0.817
Cu 0.602 0.443 0.183
Cu 0.609 0.951 0.189
Cu 0.808 0.857 0.610
Ag 0.215 0.656 0.398
Ag 0.785 0.344 0.602

Summary:
As for the crystal system: triclinic. The theoretical density is 9.2 Mg/m³. Its space group is P-1, No. 2. As for the calculated formation energy: 32 kJ/mol of formula units. The energy above the most stable polymorph in this dataset comes out at 23 meV/atom.

---

Record 11
Compound: ScCoNiB
Source: OQMD via LeMat-Bulk
Functional: PBE-GGA
Structure: relaxed

Cell lengths 5.724, 5.724, 5.724 Å; angles 90.00, 90.00, 90.00 degrees
Fractional coordinates of all 16 atoms:
Sc 0.000 0.000 0.000
Sc 0.000 0.500 0.500
Sc 0.500 0.000 0.500
Sc 0.500 0.500 0.000
Co 0.000 0.000 0.500
Co 0.000 0.500 0.000
Co 0.500 0.000 0.000
Co 0.500 0.500 0.500
Ni 0.250 0.250 0.250
Ni 0.250 0.750 0.750
Ni 0.750 0.250 0.750
Ni 0.750 0.750 0.250
B 0.250 0.250 0.750
B 0.250 0.750 0.250
B 0.750 0.250 0.250
B 0.750 0.750 0.750

Summary:
As for the crystal system: cubic. The theoretical density is 6.1 Mg/m³. Its space group is F-43m, No. 216. The energy above the most stable polymorph in this dataset comes out at 78 meV/atom.

---

Record 12
Compound: SrDyCuS3
Source: OQMD via LeMat-Bulk
Functional: PBE-GGA
Structure: relaxed

Cell lengths 7.906, 3.930, 9.092 Å; angles 90.00, 104.66, 90.00 degrees
Fractional coordinates of all 12 atoms:
Sr 0.220 0.250 0.272
Sr 0.780 0.750 0.728
Dy 0.313 0.750 0.840
Dy 0.687 0.250 0.160
Cu 0.082 0.250 0.590
Cu 0.918 0.750 0.410
S 0.077 0.250 0.846
S 0.232 0.750 0.531
S 0.438 0.750 0.153
S 0.562 0.250 0.847
S 0.768 0.250 0.469
S 0.923 0.750 0.154

Summary:
The calculation puts the total energy at -5.398 eV per atom. As for the crystal system: monoclinic. The theoretical density is 5.0 Mg/m³. Its space group is P2_1/m, No. 11.